Computed, not measured: a relaxed structure of Cd3In2Hg4 at the PBE-GGA level of DFT.

Cell and atoms, written as CIF:
```
data_Cd3In2Hg4
_chemical_formula_sum 'Cd12 In8 Hg16'
_space_group_name_H-M_alt 'C 1 2/c 1'
_space_group_IT_number 15
_cell_length_a 14.834
_cell_length_b 10.144
_cell_length_c 6.187
_cell_angle_alpha 90.00
_cell_angle_beta 100.48
_cell_angle_gamma 90.00
loop_
_space_group_symop_operation_xyz
'x,y,z'
'-x,-y,-z'
'-x,y,-z+1/2'
'x,-y,z+1/2'
'x+1/2,y+1/2,z'
'-x+1/2,-y+1/2,-z'
'-x+1/2,y+1/2,-z+1/2'
'x+1/2,-y+1/2,z+1/2'
loop_
_atom_site_label
_atom_site_type_symbol
_atom_site_fract_x
_atom_site_fract_y
_atom_site_fract_z
Cd1 Cd 0.000 0.048 0.250
Cd2 Cd 0.160 0.432 0.418
In1 In 0.197 0.146 0.154
Hg1 Hg 0.035 0.342 0.000
Hg2 Hg 0.138 0.158 0.643
```

Total energy: -0.0380 hartree per atom
V: 915.6 Å³ per cell
ΔH_f (0 K): 0.014 eV/atom